1.
{
  "formula": "Mn3As2",
  "functional": "PBE",
  "state": "optimized geometry",
  "formation_enthalpy_0k_ev_per_atom": -0.141,
  "n_ef_per_ev_atom": 0.62,
  "crystal_system": "orthorhombic",
  "spacegroup": "Cmc2_1 (36)",
  "lattice_angstrom": [[-1.816, 5.429, -3.539], [-0.938, -4.198, 5.177], [7.659, 7.356, 7.353]],
  "species": ["Mn", "Mn", "Mn", "As", "As", "Mn", "As", "As", "As", "As", "As", "Mn", "Mn", "Mn", "Mn", "Mn", "Mn", "Mn", "Mn", "As"],
  "fractional_positions": [[0.769, 0.231, 0.178], [0.371, 0.629, 0.480], [0.557, 0.443, 0.633], [0.662, 0.338, 0.798], [0.338, 0.662, 0.298], [0.231, 0.769, 0.678], [0.734, 0.266, 0.530], [0.266, 0.734, 0.030], [0.402, 0.598, 0.767], [0.009, 0.991, 0.498], [0.991, 0.009, 0.998], [0.889, 0.111, 0.639], [0.443, 0.557, 0.133], [0.030, 0.970, 0.814], [0.629, 0.371, 0.980], [0.172, 0.828, 0.393], [0.828, 0.172, 0.893], [0.111, 0.889, 0.139], [0.970, 0.030, 0.314], [0.598, 0.402, 0.267]]
}



2.
{
  "formula": "BaTl2Sb",
  "functional": "PBE",
  "state": "optimized geometry",
  "raw_formation_energy_ev_per_atom": -0.347,
  "relative_energy_kj_per_mol_fu": 56,
  "n_ef_per_ev_atom": 0.59,
  "crystal_system": "orthorhombic",
  "spacegroup": "Pmm2 (25)",
  "lattice_angstrom": [[4.281, 0.000, 0.000], [0.000, 4.358, 0.000], [0.000, 0.000, 7.421]],
  "species": ["Sb", "Tl", "Tl", "Ba"],
  "fractional_positions": [[0.500, 0.500, 0.785], [0.000, 0.000, 0.995], [0.500, 0.500, 0.202], [0.000, 0.000, 0.518]]
}



3.
{
  "formula": "Ho8ZnNi2",
  "functional": "PBE",
  "state": "optimized geometry",
  "formation_enthalpy_0k_ev_per_atom": -0.107,
  "relative_energy_kj_per_mol_fu": 113,
  "n_ef_per_ev_atom": 1.30,
  "crystal_system": "monoclinic",
  "spacegroup": "Cm (8)",
  "lattice_angstrom": [[5.325, 0.150, -0.831], [-1.741, 6.927, -3.026], [0.142, -0.184, 7.753]],
  "species": ["Ho", "Ho", "Ho", "Ho", "Ni", "Ni", "Zn", "Ho", "Ho", "Ho", "Ho"],
  "fractional_positions": [[0.808, 0.622, 0.622], [0.585, 0.079, 0.337], [0.191, 0.384, 0.384], [0.415, 0.927, 0.670], [0.500, 0.699, 0.308], [0.500, 0.308, 0.699], [0.002, 0.003, 0.003], [0.000, 0.243, 0.763], [0.000, 0.763, 0.243], [0.585, 0.337, 0.079], [0.415, 0.670, 0.927]]
}



4.
{
  "formula": "Li5Zn2Pt",
  "functional": "PBE",
  "state": "optimized geometry",
  "formation_enthalpy_0k_ev_per_atom": -0.316,
  "n_ef_per_ev_atom": 0.34,
  "crystal_system": "orthorhombic",
  "spacegroup": "Pbam (55)",
  "lattice_angstrom": [[3.938, 0.000, 0.000], [0.000, 5.529, 0.000], [0.000, 0.000, 11.041]],
  "species": ["Li", "Li", "Li", "Li", "Pt", "Zn", "Li", "Zn", "Zn", "Zn", "Li", "Pt", "Li", "Li", "Li", "Li"],
  "fractional_positions": [[0.500, 0.750, 0.625], [0.000, 0.500, 0.500], [0.000, 0.017, 0.254], [0.000, 0.983, 0.746], [0.000, 0.000, 0.500], [0.500, 0.774, 0.386], [0.000, 0.517, 0.246], [0.500, 0.726, 0.886], [0.500, 0.226, 0.614], [0.500, 0.274, 0.114], [0.500, 0.250, 0.875], [0.000, 0.500, 0.000], [0.500, 0.250, 0.375], [0.000, 0.000, 0.000], [0.500, 0.750, 0.125], [0.000, 0.483, 0.754]]
}



5.
{
  "formula": "DyTh3Te6",
  "functional": "PBE",
  "state": "optimized geometry",
  "raw_formation_energy_ev_per_atom": -1.175,
  "n_ef_per_ev_atom": 0.34,
  "crystal_system": "monoclinic",
  "spacegroup": "P2_1/m (11)",
  "lattice_angstrom": [[-2.118, 3.607, 0.449], [-7.804, -3.620, -7.742], [-4.752, -4.319, 12.285]],
  "species": ["Te", "Th", "Th", "Th", "Te", "Te", "Te", "Te", "Te", "Te", "Te", "Dy", "Te", "Te", "Th", "Te", "Th", "Te", "Th", "Dy"],
  "fractional_positions": [[0.250, 0.242, 0.687], [0.250, 0.633, 0.137], [0.750, 0.681, 0.522], [0.250, 0.319, 0.478], [0.250, 0.193, 0.246], [0.750, 0.854, 0.101], [0.750, 0.418, 0.099], [0.250, 0.891, 0.539], [0.250, 0.146, 0.899], [0.750, 0.758, 0.313], [0.750, 0.109, 0.461], [0.750, 0.040, 0.689], [0.750, 0.474, 0.629], [0.250, 0.582, 0.901], [0.750, 0.128, 0.073], [0.250, 0.526, 0.371], [0.250, 0.872, 0.927], [0.750, 0.807, 0.754], [0.750, 0.367, 0.863], [0.250, 0.960, 0.311]]
}



6.
{
  "formula": "Mg7Cu17O24",
  "functional": "PBE",
  "state": "optimized geometry",
  "raw_formation_energy_ev_per_atom": -1.151,
  "n_ef_per_ev_atom": 0.20,
  "crystal_system": "monoclinic",
  "spacegroup": "Pm (6)",
  "lattice_angstrom": [[-0.827, 8.030, 0.464], [-8.188, -0.567, -4.771], [-3.214, -0.651, 5.593]],
  "species": ["Cu", "Mg", "O", "Mg", "O", "O", "O", "Mg", "Cu", "O", "Cu", "Cu", "Mg", "Cu", "Mg", "O", "O", "O", "O", "O", "Cu", "Cu", "O", "Cu", "O", "Cu", "O", "Cu", "O", "Mg", "Cu", "O", "O", "O", "O", "O", "Cu", "O", "Cu", "Cu", "O", "Cu", "Cu", "O", "O", "Cu", "Mg", "O"],
  "fractional_positions": [[0.375, 0.414, 0.922], [0.626, 0.250, 0.693], [0.125, 0.098, 0.947], [0.875, 0.750, 0.311], [0.626, 0.402, 0.447], [0.874, 0.593, 0.550], [0.124, 0.402, 0.447], [0.624, 0.250, 0.193], [0.124, 0.914, 0.579], [0.375, 0.250, 0.249], [0.875, 0.088, 0.923], [0.876, 0.750, 0.814], [0.375, 0.750, 0.306], [0.124, 0.586, 0.079], [0.126, 0.250, 0.193], [0.375, 0.599, 0.050], [0.875, 0.908, 0.065], [0.375, 0.250, 0.748], [0.875, 0.250, 0.242], [0.626, 0.098, 0.447], [0.626, 0.587, 0.079], [0.875, 0.087, 0.414], [0.125, 0.402, 0.947], [0.375, 0.086, 0.922], [0.875, 0.250, 0.748], [0.124, 0.914, 0.079], [0.375, 0.599, 0.554], [0.375, 0.414, 0.422], [0.875, 0.592, 0.065], [0.375, 0.750, 0.806], [0.626, 0.913, 0.079], [0.125, 0.750, 0.252], [0.625, 0.750, 0.251], [0.625, 0.098, 0.947], [0.874, 0.907, 0.550], [0.375, 0.901, 0.050], [0.875, 0.413, 0.414], [0.375, 0.901, 0.554], [0.875, 0.412, 0.923], [0.626, 0.586, 0.577], [0.631, 0.750, 0.749], [0.626, 0.914, 0.577], [0.124, 0.586, 0.579], [0.625, 0.403, 0.947], [0.120, 0.750, 0.749], [0.375, 0.086, 0.422], [0.125, 0.250, 0.693], [0.124, 0.098, 0.447]]
}